Entry from Alexandria via LeMat-Bulk: a geometry-optimized Sc2ZnCu structure (GGA-PBE).

CIF file:
```
data_Sc2ZnCu
_chemical_formula_sum 'Sc2 Zn1 Cu1'
_cell_length_a 3.321
_cell_length_b 3.321
_cell_length_c 6.551
_cell_angle_alpha 90.00
_cell_angle_beta 90.00
_cell_angle_gamma 90.00
_symmetry_space_group_name_H-M 'P 4/m m m'
_symmetry_Int_Tables_number 123
_symmetry_space_group_name_Hall '-P 4 2'
loop_
_atom_site_label
_atom_site_type_symbol
_atom_site_fract_x
_atom_site_fract_y
_atom_site_fract_z
Sc1 Sc 0.000 0.000 0.243
Zn1 Zn 0.500 0.500 0.500
Cu1 Cu 0.500 0.500 0.000
```

Properties
VASP energy: -19.33 eV for the cell shown
Total moment: 0.00 μB/cell